VASP calculation (PBE) on a relaxed structure of Tb2SiPd6.

Lattice parameters (Å, degrees): 5.6734 5.6734 5.9591 102.38 102.38 60.36
Last column: nearest neighbours and their distance in Å.
Fractional coordinates of all 9 atoms:
Tb: 0.1432 0.1432 0.3380  9 Pd 2.95-3.16
Tb: 0.8568 0.8568 0.6620  9 Pd 2.95-3.16
Si: 0.5000 0.5000 0.5000  6 Pd 2.37-2.44
Pd: 0.1143 0.6271 0.1928  1 Si 2.44
Pd: 0.3728 0.3728 0.7910  1 Si 2.37
Pd: 0.3729 0.8857 0.8072  1 Si 2.44
Pd: 0.6271 0.1143 0.1928  1 Si 2.44
Pd: 0.6272 0.6272 0.2090  1 Si 2.37
Pd: 0.8857 0.3729 0.8072  1 Si 2.44

Properties
Crystal system: monoclinic
Space-group type: C2/m, No. 12



VASP calculation (PBE) on a relaxed structure of TbSi3Pd10.

Lattice parameters (Å, degrees): 8.6625 8.6625 8.6625 60.00 60.00 60.00
Last column: nearest neighbours and their distance in Å.
Fractional coordinates of all 28 atoms:
Tb: 0.2500 0.2500 0.2500  4 Pd 2.84
Tb: 0.7500 0.7500 0.7500  4 Pd 2.84
Si: 0.2347 0.2347 0.7653  8 Pd 2.40-2.48
Si: 0.2347 0.7653 0.2347  8 Pd 2.40-2.48
Si: 0.2347 0.7653 0.7653  8 Pd 2.40-2.48
Si: 0.7653 0.2347 0.2347  8 Pd 2.40-2.48
Si: 0.7653 0.2347 0.7653  8 Pd 2.40-2.48
Si: 0.7653 0.7653 0.2347  8 Pd 2.40-2.48
Pd: 0.1161 0.1161 0.1161  3 Si 2.48
Pd: 0.1161 0.1161 0.6517  3 Si 2.48
Pd: 0.1161 0.6517 0.1161  3 Si 2.48
Pd: 0.1558 0.5000 0.5000  2 Si 2.40
Pd: 0.1558 0.5000 0.8442  2 Si 2.40
Pd: 0.1558 0.8442 0.5000  2 Si 2.40
Pd: 0.3483 0.8839 0.8839  3 Si 2.48
Pd: 0.5000 0.1558 0.5000  2 Si 2.40
Pd: 0.5000 0.1558 0.8442  2 Si 2.40
Pd: 0.5000 0.5000 0.1558  2 Si 2.40
Pd: 0.5000 0.5000 0.8442  2 Si 2.40
Pd: 0.5000 0.8442 0.1558  2 Si 2.40
Pd: 0.5000 0.8442 0.5000  2 Si 2.40
Pd: 0.6517 0.1161 0.1161  3 Si 2.48
Pd: 0.8442 0.1558 0.5000  2 Si 2.40
Pd: 0.8442 0.5000 0.1558  2 Si 2.40
Pd: 0.8442 0.5000 0.5000  2 Si 2.40
Pd: 0.8839 0.3483 0.8839  3 Si 2.48
Pd: 0.8839 0.8839 0.3483  3 Si 2.48
Pd: 0.8839 0.8839 0.8839  3 Si 2.48

Properties
Crystal system: cubic
Space-group type: Fm-3m, No. 225



What are the magnetization values for these records? In order: 0.00 0.00 Bohr magnetons per cell.
What are the formation energy (no corrections) values for these records? In order: -7.79 -9.72 eV per formula unit.